Record 1
DFT (GGA-PBE) results for an optimized crystal structure of CsBaTeN2.

Lattice parameters (Å, degrees): 5.4987 5.4987 6.9054 90.00 90.00 90.00
Closest atoms and distances in Å follow each position.
Space group P4/mmm (No. 123)
Symmetry-distinct sites (fractional):
Cs (0.0000, 0.0000, 0.0000)  4 Te 3.89
Ba (0.5000, 0.5000, 0.5000)  4 N 2.75
Te (0.5000, 0.5000, 0.0000)  2 Ba 3.45
N (0.0000, 0.5000, 0.5000)  2 Ba 2.75

Values from the calculation:
final energy	-3.7203	eV/atom
mass density	3.39	g/cm³
formation energy from raw total energies	0.79	eV per atom
N(E_F)	4.1	states/eV/cell
total magnetization	1.000	μB per atom

---

Record 2
DFT (GGA-PBE) results for an optimized crystal structure of Cs2BaNa.

Lattice parameters (Å, degrees): 6.4181 6.4181 7.3124 90.00 90.00 90.00
Closest atoms and distances in Å follow each position.
Space group P4/mmm (No. 123)
Symmetry-distinct sites (fractional):
Cs (0.0000, 0.5000, 0.0000)  4 Cs 4.54, 4 Na 4.86, 4 Ba 4.86
Ba (0.0000, 0.0000, 0.5000)  4 Na 4.54, 8 Cs 4.86
Na (0.5000, 0.5000, 0.5000)  4 Ba 4.54, 8 Cs 4.86

Values from the calculation:
final energy	-1.0957	eV/atom
mass density	2.35	g/cm³
formation energy from the elements	0.57	eV/f.u.
N(E_F)	4.4	states/eV/cell
total magnetization	0.000	μB per atom

---

Record 3
DFT (GGA-PBE) results for an optimized crystal structure of CsBa2Na.

Lattice parameters (Å, degrees): 4.5131 4.5131 45.2941 90.00 90.00 120.00
Closest atoms and distances in Å follow each position.
Space group R-3m (No. 166, hexagonal axes)
Symmetry-distinct sites (fractional):
Cs (0.0000, 0.0000, 0.0000)  2 Ba 4.42, 6 Cs 4.51
Ba (0.0000, 0.0000, 0.0976)  3 Na 4.07, 1 Cs 4.42, 6 Ba 4.51
Na (0.0000, 0.0000, 0.5000)  6 Ba 4.07, 6 Na 4.51

Values from the calculation:
final energy	-1.3480	eV/atom
mass density	2.68	g/cm³
formation energy from the elements	0.63	eV/f.u.
N(E_F)	17.8	states/eV/cell
total magnetization	0.000	μB per atom

---

Record 4
DFT (GGA-PBE) results for an optimized crystal structure of CsBa2Na.

Lattice parameters (Å, degrees): 6.1178 6.1178 7.0728 90.00 90.00 90.00
Closest atoms and distances in Å follow each position.
Space group P4/mmm (No. 123)
Symmetry-distinct sites (fractional):
Cs (0.0000, 0.0000, 0.0000)  4 Na 4.33, 8 Ba 4.68
Ba (0.0000, 0.5000, 0.5000)  4 Ba 4.33, 4 Na 4.68, 4 Cs 4.68
Na (0.5000, 0.5000, 0.0000)  4 Cs 4.33, 8 Ba 4.68

Values from the calculation:
final energy	-1.3624	eV/atom
mass density	2.70	g/cm³
formation energy from the elements	0.57	eV/f.u.
N(E_F)	4.4	states/eV/cell
total magnetization	0.000	μB per atom

---

Record 5
DFT (GGA-PBE) results for an optimized crystal structure of CsBaNa2.

Lattice parameters (Å, degrees): 4.5833 4.5833 40.1266 90.00 90.00 120.00
Closest atoms and distances in Å follow each position.
Space group R3m (No. 160, hexagonal axes)
Symmetry-distinct sites (fractional):
Cs (0.0000, 0.0000, 0.0000)  6 Na 4.45, 6 Cs 4.58
Ba (0.0000, 0.0000, 0.8333)  6 Na 4.08-4.09
Na (0.0000, 0.0000, 0.4224)  3 Ba 4.08, 3 Cs 4.45
Na (0.0000, 0.0000, 0.5776)  3 Ba 4.09, 3 Cs 4.45

Values from the calculation:
final energy	-1.2533	eV/atom
mass density	2.16	g/cm³
formation energy from the elements	0.40	eV/f.u.
N(E_F)	10.5	states/eV/cell
total magnetization	0.000	μB per atom

---

Record 6
DFT (GGA-PBE) results for an optimized crystal structure of CsBa2Na.

Lattice parameters (Å, degrees): 4.6533 4.6533 12.4482 90.00 90.00 90.00
Closest atoms and distances in Å follow each position.
Space group P4/mmm (No. 123)
Symmetry-distinct sites (fractional):
Cs (0.0000, 0.0000, 0.0000)  4 Cs 4.65, 8 Ba 5.10
Ba (0.5000, 0.5000, 0.3130)  4 Na 4.03
Na (0.0000, 0.0000, 0.5000)  8 Ba 4.03

Values from the calculation:
final energy	-1.4074	eV/atom
mass density	2.65	g/cm³
formation energy from the elements	0.39	eV/f.u.
N(E_F)	5.5	states/eV/cell
total magnetization	0.000	μB per atom

---

Record 7
DFT (GGA-PBE) results for an optimized crystal structure of CsBa3Na8.

Lattice parameters (Å, degrees): 7.3864 7.3864 12.1367 90.00 90.00 120.00
Closest atoms and distances in Å follow each position.
Space group P3m1 (No. 156)
Symmetry-distinct sites (fractional):
Cs (0.0000, 0.0000, 0.0000)  12 Na 4.34-4.44, 4 Ba 4.57-4.66
Ba (0.0000, 0.0000, 0.3836)  12 Na 4.16-4.35, 3 Ba 4.48, 1 Cs 4.66
Ba (0.6667, 0.3333, 0.4973)  12 Na 4.23-4.33, 4 Ba 4.44-4.48
Ba (0.6667, 0.3333, 0.8635)  12 Na 4.32-4.53, 1 Ba 4.44, 3 Cs 4.57
Na (0.1657, 0.3315, 0.6787)  6 Na 3.64-3.76
Na (0.3333, 0.6667, 0.4362)  6 Na 3.64-3.65
Na (0.3333, 0.6667, 0.9331)  6 Na 3.76-3.84
Na (0.5028, 0.0056, 0.1946)  6 Na 3.63-3.84

Values from the calculation:
final energy	-1.4231	eV/atom
mass density	2.11	g/cm³
formation energy from the elements	0.10	eV/f.u.
N(E_F)	10.5	states/eV/cell
total magnetization	0.000	μB per atom

---

Record 8
DFT (GGA-PBE) results for an optimized crystal structure of Cs2BaNa.

Lattice parameters (Å, degrees): 4.7813 4.7813 13.3357 90.00 90.00 90.00
Closest atoms and distances in Å follow each position.
Space group P4/mmm (No. 123)
Symmetry-distinct sites (fractional):
Cs (0.0000, 0.0000, 0.2130)  4 Na 4.42, 4 Cs 4.78
Ba (0.5000, 0.5000, 0.5000)  4 Ba 4.78, 8 Cs 5.11
Na (0.5000, 0.5000, 0.0000)  8 Cs 4.42, 4 Na 4.78

Values from the calculation:
final energy	-1.1078	eV/atom
mass density	2.32	g/cm³
formation energy from the elements	0.52	eV/f.u.
N(E_F)	5.3	states/eV/cell
total magnetization	0.000	μB per atom

---

Record 9
DFT (GGA-PBE) results for an optimized crystal structure of Cs2BaNa7.

Lattice parameters (Å, degrees): 9.0826 27.1145 4.4059 90.00 90.00 90.00
Closest atoms and distances in Å follow each position.
Space group Cmmm (No. 65)
Symmetry-distinct sites (fractional):
Cs (0.0000, 0.2463, 0.0000)  6 Na 4.28-4.61, 4 Cs 4.41-4.55
Ba (0.0000, 0.5000, 0.5000)  8 Na 4.11, 2 Ba 4.41
Na (0.0000, 0.0000, 0.0000)  4 Na 3.55
Na (0.0000, 0.1027, 0.5000)  6 Na 3.54-3.55
Na (0.1961, 0.3900, 0.0000)  3 Na 3.54-3.56

Values from the calculation:
final energy	-1.2039	eV/atom
mass density	1.73	g/cm³
formation energy from the elements	0.82	eV/f.u.
N(E_F)	15.0	states/eV/cell
total magnetization	0.000	μB per atom

---

Record 10
DFT (GGA-PBE) results for an optimized crystal structure of Cs2Ba2Na15.

Lattice parameters (Å, degrees): 12.8390 12.8390 19.0375 90.00 90.00 120.00
Closest atoms and distances in Å follow each position.
Space group R-3m (No. 166, hexagonal axes)
Symmetry-distinct sites (fractional):
Cs (0.0000, 0.0000, 0.1522)  15 Na 4.49-4.91, 1 Ba 4.63
Ba (0.0000, 0.0000, 0.3951)  12 Na 3.89-4.22, 1 Ba 3.99
Na (0.0000, 0.2892, 0.5000)  8 Na 3.71-3.97
Na (0.0000, 0.5000, 0.0000)  8 Na 3.71-3.74, 2 Ba 3.89
Na (0.0045, 0.5022, 0.6514)  8 Na 3.70-3.97, 1 Ba 4.03

Values from the calculation:
final energy	-1.3048	eV/atom
mass density	1.62	g/cm³
formation energy from the elements	0.55	eV/f.u.
N(E_F)	32.4	states/eV/cell
total magnetization	0.000	μB per atom

---

Record 11
DFT (GGA-PBE) results for an optimized crystal structure of CsBa2Na9.

Lattice parameters (Å, degrees): 7.3798 7.3798 35.8947 90.00 90.00 120.00
Closest atoms and distances in Å follow each position.
Space group R-3m (No. 166, hexagonal axes)
Symmetry-distinct sites (fractional):
Cs (0.0000, 0.0000, 0.0000)  6 Na 4.26
Ba (0.0000, 0.0000, 0.1452)  12 Na 4.23-4.33, 3 Ba 4.53
Na (0.0000, 0.0000, 0.3340)  6 Na 3.74
Na (0.0000, 0.0000, 0.5000)  6 Na 3.62
Na (0.0053, 0.5026, 0.9143)  7 Na 3.62-3.75

Values from the calculation:
final energy	-1.3699	eV/atom
mass density	1.81	g/cm³
formation energy from the elements	0.13	eV/f.u.
N(E_F)	27.5	states/eV/cell
total magnetization	0.000	μB per atom

---

Record 12
DFT (GGA-PBE) results for an optimized crystal structure of CsBaNa2.

Lattice parameters (Å, degrees): 4.7842 4.7842 10.4331 90.00 90.00 90.00
Closest atoms and distances in Å follow each position.
Space group P4/mmm (No. 123)
Symmetry-distinct sites (fractional):
Cs (0.0000, 0.0000, 0.0000)  8 Na 4.49, 4 Cs 4.78
Ba (0.0000, 0.0000, 0.5000)  8 Na 4.07
Na (0.5000, 0.5000, 0.2825)  4 Ba 4.07, 4 Cs 4.49, 1 Na 4.54

Values from the calculation:
final energy	-1.3252	eV/atom
mass density	2.20	g/cm³
formation energy from the elements	0.11	eV/f.u.
N(E_F)	3.3	states/eV/cell
total magnetization	0.000	μB per atom